Record 1
Below is a relaxed MgReB4 crystal, with properties calculated at the GGA-PBE level.

Cell: 3.012 4.503 4.503 Å, 71.12 70.43 70.43°
Element x y z (fractional)
B: 0.256 0.083 0.406
B: 0.256 0.406 0.083
B: 0.744 0.594 0.917
Mg: 0.000 0.000 0.000
B: 0.744 0.917 0.594
Re: 0.500 0.500 0.500

V   52.7 Å³ per cell
E_tot   -6.9566 eV/atom
Formation enthalpy at 0 K   -0.1645 eV/atom

Record 2
Below is a relaxed MgReB3 crystal, with properties calculated at the GGA-PBE level.

Cell: 4.130 4.130 4.130 Å, 90.00 90.00 90.00°
Element x y z (fractional)
B: 0.000 0.500 0.000
Mg: 0.500 0.500 0.500
B: 0.000 0.000 0.500
B: 0.500 0.000 0.000
Re: 0.000 0.000 0.000

V   70.5 Å³ per cell
E_tot   -6.0691 eV/atom
Formation enthalpy at 0 K   0.7459 eV/atom

Record 3
Below is a relaxed MgRe3B crystal, with properties calculated at the GGA-PBE level.

Cell: 4.164 4.164 4.164 Å, 90.00 90.00 90.00°
Element x y z (fractional)
Re: 0.000 0.000 0.500
Mg: 0.500 0.500 0.500
B: 0.000 0.000 0.000
Re: 0.000 0.500 0.000
Re: 0.500 0.000 0.000

V   72.2 Å³ per cell
E_tot   -8.7707 eV/atom
Formation enthalpy at 0 K   0.3526 eV/atom

Record 4
Below is a relaxed MgRe2B2 crystal, with properties calculated at the GGA-PBE level.

Cell: 5.918 5.918 3.108 Å, 90.00 90.00 90.00°
Element x y z (fractional)
Mg: 0.500 0.500 0.000
Re: 0.671 0.829 0.500
B: 0.114 0.386 0.000
B: 0.614 0.114 0.000
Mg: 0.000 0.000 0.000
Re: 0.171 0.671 0.500
B: 0.886 0.614 0.000
Re: 0.829 0.329 0.500
B: 0.386 0.886 0.000
Re: 0.329 0.171 0.500

V   108.9 Å³ per cell
E_tot   -8.1237 eV/atom
Formation enthalpy at 0 K   -0.1546 eV/atom

Record 5
Below is a relaxed MgReBRh2 crystal, with properties calculated at the GGA-PBE level.

Cell: 4.754 4.134 4.754 Å, 90.00 90.00 90.00°
Element x y z (fractional)
Rh: 0.500 0.000 0.000
Re: 0.000 0.000 0.000
Rh: 0.000 0.000 0.500
B: 0.000 0.500 0.000
Mg: 0.500 0.500 0.500

V   93.4 Å³ per cell
E_tot   -6.1346 eV/atom
Formation enthalpy at 0 K   0.9500 eV/atom

Record 6
Below is a relaxed MgReBRu2 crystal, with properties calculated at the GGA-PBE level.

Cell: 4.076 4.184 4.076 Å, 90.00 90.00 90.00°
Site moments in Bohr magnetons follow the coordinates.
Element x y z (fractional)
Re: 0.500 0.500 0.500  1.43
Ru: 0.500 0.000 0.000  0.05
B: 0.000 0.000 0.000  0.01
Ru: 0.000 0.000 0.500  0.13
Mg: 0.000 0.500 0.000  0.00

V   69.5 Å³ per cell
E_tot   -7.3531 eV/atom
Formation enthalpy at 0 K   0.5013 eV/atom

Record 7
Below is a relaxed Mg2ScReB crystal, with properties calculated at the GGA-PBE level.

Cell: 5.084 4.804 5.084 Å, 90.00 90.00 90.00°
Element x y z (fractional)
Mg: 0.500 0.000 0.000
B: 0.500 0.500 0.500
Mg: 0.000 0.000 0.500
Re: 0.000 0.000 0.000
Sc: 0.000 0.500 0.000

V   124.2 Å³ per cell
E_tot   -4.2605 eV/atom
Formation enthalpy at 0 K   1.4687 eV/atom

Record 8
Below is a relaxed Mg8BRh4 crystal, with properties calculated at the GGA-PBE level.

Cell: 8.636 8.636 8.636 Å, 60.00 60.00 60.00°
Element x y z (fractional)
Mg: 0.301 0.699 0.699
Mg: 0.301 0.301 0.699
Mg: 0.125 0.625 0.125
Mg: 0.949 0.551 0.551
Rh: 0.904 0.904 0.288
Rh: 0.288 0.904 0.904
Mg: 0.699 0.699 0.301
Mg: 0.699 0.301 0.301
Mg: 0.301 0.699 0.301
Rh: 0.346 0.346 0.962
Mg: 0.949 0.949 0.551
B: 0.250 0.250 0.250
Rh: 0.904 0.904 0.904
Mg: 0.125 0.125 0.125
Mg: 0.125 0.125 0.625
Rh: 0.904 0.288 0.904
Mg: 0.949 0.551 0.949
Mg: 0.551 0.949 0.551
Mg: 0.699 0.301 0.699
Rh: 0.346 0.346 0.346
Rh: 0.346 0.962 0.346
Mg: 0.551 0.551 0.949
B: 0.000 0.000 0.000
Rh: 0.962 0.346 0.346
Mg: 0.625 0.125 0.125
Mg: 0.551 0.949 0.949

V   455.5 Å³ per cell
E_tot   -4.1997 eV/atom
Formation enthalpy at 0 K   -0.4428 eV/atom

Please write out number 6 again, unchanged.
Below is a relaxed MgReBRu2 crystal, with properties calculated at the GGA-PBE level.

Cell: 4.076 4.184 4.076 Å, 90.00 90.00 90.00°
Site moments in Bohr magnetons follow the coordinates.
Element x y z (fractional)
Re: 0.500 0.500 0.500  1.43
Ru: 0.500 0.000 0.000  0.05
B: 0.000 0.000 0.000  0.01
Ru: 0.000 0.000 0.500  0.13
Mg: 0.000 0.500 0.000  0.00

V   69.5 Å³ per cell
E_tot   -7.3531 eV/atom
Formation enthalpy at 0 K   0.5013 eV/atom

Please write out number 2 again, unchanged.
Below is a relaxed MgReB3 crystal, with properties calculated at the GGA-PBE level.

Cell: 4.130 4.130 4.130 Å, 90.00 90.00 90.00°
Element x y z (fractional)
B: 0.000 0.500 0.000
Mg: 0.500 0.500 0.500
B: 0.000 0.000 0.500
B: 0.500 0.000 0.000
Re: 0.000 0.000 0.000

V   70.5 Å³ per cell
E_tot   -6.0691 eV/atom
Formation enthalpy at 0 K   0.7459 eV/atom

Question: Which formula does entry 7 have?
Answer: Mg2ScReB